Entry from the Alexandria database: a geometry-optimized MnVIN2 structure (GGA-PBE).

Properties
Its symmetry is P4/mmm (123). The uncorrected formation energy comes out at 0.9548 eV/atom. The energy above the lowest structure with this stoichiometry is 0.3502 eV/atom.

Cell and atoms, written as POSCAR:
```
MnVIN2
1.0
3.7516 0.0000 0.0000
0.0000 3.7516 0.0000
0.0000 0.0000 5.4483
Mn V I N
1 1 1 2
Cartesian
0.0000 0.0000 0.0000 Mn
1.8758 1.8758 2.7241 V
0.0000 0.0000 2.7241 I
0.0000 1.8758 0.0000 N
1.8758 0.0000 0.0000 N
```